# SrSnN3, optimized geometry, DFT PBE
# Energy relative to the elements, uncorrected   0.62 eV/atom
# Space group   Pm-3m
data_SrSnN3
_cell_length_a 4.222
_cell_length_b 4.222
_cell_length_c 4.222
_cell_angle_alpha 90.00
_cell_angle_beta 90.00
_cell_angle_gamma 90.00
_space_group_name_H-M_alt 'P 1'
_space_group_IT_number 1
loop_
_space_group_symop_operation_xyz
'x,y,z'
loop_
_atom_site_label
_atom_site_type_symbol
_atom_site_fract_x
_atom_site_fract_y
_atom_site_fract_z
Sr1 Sr 0.000 0.000 0.000
Sn1 Sn 0.500 0.500 0.500
N1 N 0.000 0.500 0.500
N2 N 0.500 0.000 0.500
N3 N 0.500 0.500 0.000